No. 1
# MgTeW2 | Alexandria via LeMat-Bulk | PBE-GGA | relaxed
data_MgTeW2
_chemical_formula_sum 'Mg2 Te2 W4'
_symmetry_space_group_name_H-M 'I 4/m m m'
_symmetry_Int_Tables_number 139
_symmetry_space_group_name_Hall '-I 4 2'
_cell_length_a 3.919
_cell_length_b 3.919
_cell_length_c 9.585
_cell_angle_alpha 90.00
_cell_angle_beta 90.00
_cell_angle_gamma 90.00
loop_
_atom_site_label
_atom_site_fract_x
_atom_site_fract_y
_atom_site_fract_z
Mg1 0.000 0.000 0.000
Te1 0.000 0.000 0.500
W1 0.000 0.500 0.250
# energy relative to the lowest polymorph listed for this composition = 386 meV per atom
# D(E_F) = 3.75 states/eV/f.u.
# mass density = 11.7 g/cm³

---

No. 2
# MgTeW2 | Alexandria via LeMat-Bulk | PBE-GGA | relaxed
data_MgTeW2
_chemical_formula_sum 'Mg2 Te2 W4'
_symmetry_space_group_name_H-M 'C m m 2'
_symmetry_Int_Tables_number 35
_symmetry_space_group_name_Hall 'C 2 -2'
_cell_length_a 3.315
_cell_length_b 4.968
_cell_length_c 9.750
_cell_angle_alpha 90.00
_cell_angle_beta 90.00
_cell_angle_gamma 90.00
loop_
_atom_site_label
_atom_site_fract_x
_atom_site_fract_y
_atom_site_fract_z
Mg1 0.000 0.000 0.000
Te1 0.000 0.500 0.305
W1 0.000 0.000 0.559
W2 0.000 0.500 0.760
# energy relative to the lowest polymorph listed for this composition = 124 meV per atom
# D(E_F) = 3.16 states/eV/f.u.
# mass density = 10.7 g/cm³

---

No. 3
# Mg2TeW | Alexandria via LeMat-Bulk | PBE-GGA | relaxed
data_Mg2TeW
_chemical_formula_sum 'Mg4 Te2 W2'
_symmetry_space_group_name_H-M 'I -4 m 2'
_symmetry_Int_Tables_number 119
_symmetry_space_group_name_Hall 'I -4 -2'
_cell_length_a 4.188
_cell_length_b 4.188
_cell_length_c 8.914
_cell_angle_alpha 90.00
_cell_angle_beta 90.00
_cell_angle_gamma 90.00
loop_
_atom_site_label
_atom_site_fract_x
_atom_site_fract_y
_atom_site_fract_z
Mg1 0.000 0.000 0.000
Mg2 0.000 0.500 0.250
Te1 0.000 0.500 0.750
W1 0.000 0.000 0.500
# D(E_F) = 4.45 states/eV/f.u.
# mass density = 7.6 g/cm³
# electronic total energy = -4.329 eV/atom

---

No. 4
# MgTeW2 | Alexandria via LeMat-Bulk | PBE-GGA | relaxed
data_MgTeW2
_chemical_formula_sum 'Mg1 Te1 W2'
_symmetry_space_group_name_H-M 'P 1 2/m 1'
_symmetry_Int_Tables_number 10
_symmetry_space_group_name_Hall '-P 2y'
_cell_length_a 2.941
_cell_length_b 4.803
_cell_length_c 5.333
_cell_angle_alpha 90.00
_cell_angle_beta 91.44
_cell_angle_gamma 90.00
loop_
_atom_site_label
_atom_site_fract_x
_atom_site_fract_y
_atom_site_fract_z
Mg1 0.000 0.000 0.000
Te1 0.500 0.000 0.500
W1 0.355 0.500 0.775
# energy relative to the lowest polymorph listed for this composition = 328 meV per atom
# D(E_F) = 3.84 states/eV/f.u.
# mass density = 11.5 g/cm³

---

Repeat the fourth record exactly.
# MgTeW2 | Alexandria via LeMat-Bulk | PBE-GGA | relaxed
data_MgTeW2
_chemical_formula_sum 'Mg1 Te1 W2'
_symmetry_space_group_name_H-M 'P 1 2/m 1'
_symmetry_Int_Tables_number 10
_symmetry_space_group_name_Hall '-P 2y'
_cell_length_a 2.941
_cell_length_b 4.803
_cell_length_c 5.333
_cell_angle_alpha 90.00
_cell_angle_beta 91.44
_cell_angle_gamma 90.00
loop_
_atom_site_label
_atom_site_fract_x
_atom_site_fract_y
_atom_site_fract_z
Mg1 0.000 0.000 0.000
Te1 0.500 0.000 0.500
W1 0.355 0.500 0.775
# energy relative to the lowest polymorph listed for this composition = 328 meV per atom
# D(E_F) = 3.84 states/eV/f.u.
# mass density = 11.5 g/cm³